#w
TmSc2Ga GGA-PBE relaxed; crystal system = tetragonal; DOS at the Fermi energy = 4.18 states/eV/f.u.; calculated volume = 23.18 Å³/atom
1.0
-2.4607 0.6010 -2.1441
1.0722 -2.4808 -1.9259
-4.9509 -5.3801 4.1740
Sc Tm Ga
2 1 1
direct
0.0000 0.0000 0.7920
0.0000 0.0000 0.2080
0.5000 0.5000 0.5000
0.5000 0.5000 0.0000

=====

#x
TmSc2Ga GGA-PBE relaxed; crystal system = trigonal; DOS at the Fermi energy = 4.03 states/eV/f.u.; calculated volume = 24.11 Å³/atom
1.0
-2.9976 0.8584 -1.3325
-0.9685 -1.3048 -2.9762
-5.4975 -7.5700 3.1760
Tm Sc Ga
1 2 1
direct
0.5005 0.5005 0.4985
0.0716 0.0716 0.7851
0.2615 0.2615 0.2154
0.6663 0.6663 0.0010

=====

Ordering by calculated energy gives the sequence #w, #x, with the first entry being the most stable.

=====

#w
Tm2ScGa2 GGA-PBE relaxed; crystal system = tetragonal; DOS at the Fermi energy = 5.14 states/eV/f.u.; calculated volume = 23.08 Å³/atom
1.0
-3.2534 1.2057 -2.3373
-4.3634 -0.1231 6.0101
1.6633 7.1118 1.3533
Tm Sc Ga
4 2 4
direct
0.0000 0.6752 0.3248
0.0000 0.8248 0.8248
0.0000 0.1752 0.1752
0.0000 0.3248 0.6752
0.5000 0.5000 0.0000
0.5000 0.0000 0.5000
0.5000 0.3761 0.3761
0.5000 0.8761 0.1239
0.5000 0.1239 0.8761
0.5000 0.6239 0.6239

=====

#x
Tm2ScGa2 GGA-PBE relaxed; crystal system = orthorhombic; DOS at the Fermi energy = 3.90 states/eV/f.u.; calculated volume = 23.21 Å³/atom
1.0
-2.9100 -2.6043 -1.8301
-0.0234 -5.2352 2.4056
-4.4409 -1.0751 3.5097
Tm Sc Ga
2 1 2
direct
0.2011 0.2989 0.2989
0.7989 0.7011 0.7011
0.0000 0.0000 0.0000
0.5000 0.2891 0.7109
0.5000 0.7109 0.2891

=====

Ordering by calculated energy gives the sequence #w, #x, with the first entry being the most stable.

=====

#w
TmScGa4 GGA-PBE relaxed; crystal system = orthorhombic; DOS at the Fermi energy = 2.51 states/eV/f.u.; calculated volume = 18.77 Å³/atom
1.0
4.3662 0.0000 0.0000
2.1831 4.9906 -1.0107
2.1831 0.4931 5.0680
Tm Sc Ga
1 1 4
direct
0.0000 0.0000 0.0000
0.5000 0.5000 0.5000
0.2412 0.4251 0.0924
0.2412 0.0924 0.4251
0.7588 0.5749 0.9076
0.7588 0.9076 0.5749

=====

#x
TmScGa4 GGA-PBE relaxed; crystal system = cubic; DOS at the Fermi energy = 3.65 states/eV/f.u.; calculated volume = 18.43 Å³/atom
1.0
5.3879 0.0000 0.0000
2.6939 4.6661 0.0000
2.6939 1.5554 4.3992
Sc Tm Ga
1 1 4
direct
0.0000 0.0000 0.0000
0.2500 0.2500 0.2500
0.6252 0.6252 0.1245
0.6252 0.1245 0.6252
0.6252 0.6252 0.6252
0.1245 0.6252 0.6252

=====

Ordering by calculated energy gives the sequence #w, #x, with the first entry being the most stable.

=====

#w
TmSc3Ga2 GGA-PBE relaxed; crystal system = orthorhombic; DOS at the Fermi energy = 6.08 states/eV/f.u.; calculated volume = 21.78 Å³/atom
1.0
4.6023 0.0000 0.0000
0.0000 6.3348 0.0000
0.0000 0.0000 8.9645
Tm Sc Ga
2 6 4
direct
0.5000 0.5457 0.5485
0.5000 0.0457 0.4515
0.0000 0.4549 0.9498
0.0000 0.9549 0.0502
0.5000 0.6673 0.1832
0.5000 0.1673 0.8168
0.0000 0.3345 0.3036
0.0000 0.8345 0.6964
0.5000 0.7161 0.8705
0.5000 0.2161 0.1295
0.0000 0.2815 0.6339
0.0000 0.7815 0.3661

=====

#x
TmSc3Ga2 GGA-PBE relaxed; crystal system = monoclinic; DOS at the Fermi energy = 6.07 states/eV/f.u.; calculated volume = 22.72 Å³/atom
1.0
-1.3267 4.0829 -0.8925
-3.0855 -1.6378 7.8654
8.3788 2.4736 -1.1391
Tm Sc Ga
2 6 4
direct
0.8749 0.7497 0.8752
0.1251 0.2503 0.1248
0.3278 0.6557 0.5211
0.9994 0.9988 0.6691
0.6717 0.3433 0.8648
0.3283 0.6567 0.1352
0.0006 0.0012 0.3309
0.6722 0.3443 0.4789
0.4999 0.9998 0.8567
0.5001 0.0002 0.1433
0.7911 0.5822 0.2907
0.2089 0.4178 0.7093

=====

Ordering by calculated energy gives the sequence #w, #x, with the first entry being the most stable.

=====

#w
ScVGa3 GGA-PBE relaxed; crystal system = cubic; DOS at the Fermi energy = 7.75 states/eV/f.u.; calculated volume = 25.67 Å³/atom
1.0
5.0442 0.0000 0.0000
0.0000 5.0442 0.0000
0.0000 0.0000 5.0442
Sc Ga V
1 3 1
direct
0.0000 0.0000 0.0000
0.0000 0.5000 0.0000
0.0000 0.0000 0.5000
0.5000 0.0000 0.0000
0.5000 0.5000 0.5000

=====

#x
ScVGa3 GGA-PBE relaxed; crystal system = hexagonal; DOS at the Fermi energy = 2.83 states/eV/f.u.; calculated volume = 17.81 Å³/atom
1.0
-3.7149 -2.5430 -2.9256
3.8304 -4.8124 -0.6807
-3.9070 0.1907 4.7951
Sc V Ga
2 2 6
direct
0.2500 0.3335 0.6665
0.7500 0.6665 0.3335
0.0000 0.0000 0.0000
0.5000 0.0000 0.0000
0.2500 0.8048 0.1952
0.7500 0.1952 0.8048
0.2500 0.8047 0.6097
0.7500 0.1953 0.3903
0.2500 0.3903 0.1953
0.7500 0.6097 0.8047

=====

#y
ScVGa3 GGA-PBE relaxed; crystal system = cubic; DOS at the Fermi energy = 3.22 states/eV/f.u.; calculated volume = 20.60 Å³/atom
1.0
-4.4534 1.1176 -0.9459
-1.3957 -2.3255 3.8237
0.4424 3.9140 2.5419
Sc Ga V
1 3 1
direct
0.5000 0.5000 0.5000
0.0000 0.5000 0.0000
0.0000 0.0000 0.5000
0.5000 0.0000 0.0000
0.0000 0.0000 0.0000

=====

Ordering by calculated energy gives the sequence #x, #y, #w, with the first entry being the most stable.

=====

#w
ScV3Ga GGA-PBE relaxed; crystal system = cubic; DOS at the Fermi energy = 8.78 states/eV/f.u.; calculated volume = 19.03 Å³/atom
1.0
-3.8168 1.8375 1.7033
-0.9210 -3.9155 2.1601
2.3301 1.4622 3.6439
Sc Ga V
1 1 3
direct
0.5000 0.5000 0.5000
0.0000 0.0000 0.0000
0.0000 0.5000 0.0000
0.0000 0.0000 0.5000
0.5000 0.0000 0.0000

=====

#x
ScV3Ga GGA-PBE relaxed; crystal system = cubic; DOS at the Fermi energy = 8.54 states/eV/f.u.; calculated volume = 17.26 Å³/atom
1.0
4.4188 0.0000 0.0000
0.0000 4.4188 0.0000
0.0000 0.0000 4.4188
Sc Ga V
1 1 3
direct
0.0000 0.0000 0.0000
0.5000 0.5000 0.5000
0.0000 0.5000 0.0000
0.0000 0.0000 0.5000
0.5000 0.0000 0.0000

=====

Ordering by calculated energy gives the sequence #w, #x, with the first entry being the most stable.

=====

#w
Sc3GaW GGA-PBE relaxed; crystal system = cubic; DOS at the Fermi energy = 7.21 states/eV/f.u.; calculated volume = 25.89 Å³/atom
1.0
5.0589 0.0000 0.0000
0.0000 5.0589 0.0000
0.0000 0.0000 5.0589
Sc Ga W
3 1 1
direct
0.0000 0.5000 0.0000
0.0000 0.0000 0.5000
0.5000 0.0000 0.0000
0.5000 0.5000 0.5000
0.0000 0.0000 0.0000

=====

#x
Sc3GaW GGA-PBE relaxed; crystal system = cubic; DOS at the Fermi energy = 16.09 states/eV/f.u.; calculated volume = 23.82 Å³/atom
1.0
-1.9819 -4.3502 1.1629
4.4683 -1.7426 1.0966
-0.5577 1.4980 4.6530
Sc Ga W
3 1 1
direct
0.0000 0.5000 0.0000
0.0000 0.0000 0.5000
0.5000 0.0000 0.0000
0.0000 0.0000 0.0000
0.5000 0.5000 0.5000

=====

Ordering by calculated energy gives the sequence #w, #x, with the first entry being the most stable.

=====

#w
YScGa2 GGA-PBE relaxed; crystal system = tetragonal; DOS at the Fermi energy = 2.03 states/eV/f.u.; calculated volume = 20.89 Å³/atom
1.0
3.4871 0.0000 0.0000
0.0000 3.4871 0.0000
0.0000 0.0000 6.8733
Y Sc Ga
1 1 2
direct
0.5000 0.5000 0.5000
0.5000 0.5000 0.0000
0.0000 0.0000 0.7720
0.0000 0.0000 0.2280

=====

#x
YScGa2 GGA-PBE relaxed; crystal system = orthorhombic; DOS at the Fermi energy = 3.23 states/eV/f.u.; calculated volume = 22.20 Å³/atom
1.0
4.2191 0.0000 -0.0270
0.0000 3.9700 0.0000
-2.0726 0.0000 5.3160
Y Sc Ga
1 1 2
direct
0.7233 0.0000 0.9864
0.4470 0.5000 0.4322
0.1587 0.5000 0.8564
0.0020 0.0000 0.5430

=====

#y
YScGa2 GGA-PBE relaxed; crystal system = cubic; DOS at the Fermi energy = 1.88 states/eV/f.u.; calculated volume = 20.97 Å³/atom
1.0
-3.9799 -2.7247 0.9387
-1.8991 -0.0958 4.5308
-4.3111 2.1777 0.9035
Y Sc Ga
1 1 2
direct
0.5000 0.5000 0.5000
0.0000 0.0000 0.0000
0.2500 0.2500 0.2500
0.7500 0.7500 0.7500

=====

Ordering by calculated energy gives the sequence #x, #w, #y, with the first entry being the most stable.

=====

#w
Y2ScGa2 GGA-PBE relaxed; crystal system = tetragonal; DOS at the Fermi energy = 6.24 states/eV/f.u.; calculated volume = 24.38 Å³/atom
1.0
8.5729 0.0000 0.0000
0.0000 8.5729 0.0000
0.0000 0.0000 3.3173
Y Sc Ga
4 2 4
direct
0.3684 0.8684 0.0000
0.8684 0.6316 0.0000
0.6316 0.1316 0.0000
0.1316 0.3684 0.0000
0.0000 0.0000 0.0000
0.5000 0.5000 0.0000
0.1710 0.6710 0.5000
0.6710 0.8290 0.5000
0.8290 0.3290 0.5000
0.3290 0.1710 0.5000

=====

#x
Y2ScGa2 GGA-PBE relaxed; crystal system = monoclinic; DOS at the Fermi energy = 5.27 states/eV/f.u.; calculated volume = 24.21 Å³/atom
1.0
-1.8326 1.3763 -3.7625
-3.7532 -4.4765 -2.3886
-8.4208 3.5675 2.8272
Y Sc Ga
4 2 4
direct
0.3146 0.2699 0.1009
0.4810 0.3528 0.6853
0.6854 0.7301 0.8991
0.5190 0.6472 0.3147
0.7874 0.0596 0.3655
0.2126 0.9404 0.6345
0.9700 0.1648 0.8953
0.1280 0.3165 0.4276
0.0300 0.8352 0.1047
0.8720 0.6835 0.5724

=====

#y
Y2ScGa2 GGA-PBE relaxed; crystal system = tetragonal; DOS at the Fermi energy = 4.12 states/eV/f.u.; calculated volume = 23.97 Å³/atom
1.0
7.4973 0.0000 0.0000
0.0000 7.4973 0.0000
0.0000 0.0000 4.2650
Y Sc Ga
4 2 4
direct
0.1758 0.6758 0.5000
0.6758 0.8242 0.5000
0.8242 0.3242 0.5000
0.3242 0.1758 0.5000
0.0000 0.0000 0.0000
0.5000 0.5000 0.0000
0.3768 0.8768 0.0000
0.8768 0.6232 0.0000
0.6232 0.1232 0.0000
0.1232 0.3768 0.0000

=====

Ordering by calculated energy gives the sequence #y, #x, #w, with the first entry being the most stable.

=====

#w
Sc3ZnGa2 GGA-PBE relaxed; crystal system = trigonal; DOS at the Fermi energy = 3.70 states/eV/f.u.; calculated volume = 18.79 Å³/atom
1.0
4.7404 0.0000 0.0000
-2.3702 4.1053 0.0000
0.0000 0.0000 11.5856
Sc Zn Ga
6 2 4
direct
0.3333 0.6667 0.4181
0.6667 0.3333 0.0825
0.0000 0.0000 0.7497
0.0000 0.0000 0.2503
0.3333 0.6667 0.9175
0.6667 0.3333 0.5819
0.3333 0.6667 0.6677
0.6667 0.3333 0.3323
0.0000 0.0000 0.5000
0.3333 0.6667 0.1724
0.6667 0.3333 0.8276
0.0000 0.0000 0.0000

=====

#x
Sc3ZnGa2 GGA-PBE relaxed; crystal system = tetragonal; DOS at the Fermi energy = 3.94 states/eV/f.u.; calculated volume = 18.80 Å³/atom
1.0
-2.3297 -1.7355 -1.6447
2.2873 -0.9487 -2.2389
2.1122 -8.1552 5.6134
Sc Zn Ga
3 1 2
direct
0.0000 0.0000 0.0000
0.0000 0.0000 0.6634
0.0000 0.0000 0.3366
0.5000 0.5000 0.5000
0.5000 0.5000 0.8286
0.5000 0.5000 0.1714

=====

Ordering by calculated energy gives the sequence #w, #x, with the first entry being the most stable.

=====

#w
Sc3ZnGa3 GGA-PBE relaxed; crystal system = hexagonal; DOS at the Fermi energy = 4.48 states/eV/f.u.; calculated volume = 18.82 Å³/atom
1.0
-4.1565 2.3169 0.4427
-2.1522 -2.4710 -7.2748
-1.7799 -4.4165 6.4021
Sc Zn Ga
6 2 6
direct
0.7500 0.6477 0.5507
0.7500 0.4493 0.0970
0.7500 0.9030 0.3523
0.2500 0.3523 0.4493
0.2500 0.5507 0.9030
0.2500 0.0970 0.6477
0.2500 0.6667 0.3333
0.7500 0.3333 0.6667
0.2500 0.8155 0.7687
0.2500 0.2313 0.0468
0.2500 0.9532 0.1845
0.7500 0.1845 0.2313
0.7500 0.7687 0.9532
0.7500 0.0468 0.8155

=====

#x
Sc3ZnGa3 GGA-PBE relaxed; crystal system = monoclinic; DOS at the Fermi energy = 4.92 states/eV/f.u.; calculated volume = 19.13 Å³/atom
1.0
4.1302 0.0000 0.6222
2.0316 5.0949 0.5336
0.1893 0.1556 12.7640
Sc Zn Ga
6 2 6
direct
0.5313 0.3163 0.6211
0.4687 0.6837 0.3789
0.2650 0.2506 0.2193
0.7350 0.7494 0.7807
0.3986 0.2814 0.9215
0.6014 0.7186 0.0785
0.7597 0.0900 0.3907
0.2403 0.9100 0.6093
0.8713 0.7069 0.5505
0.1287 0.2931 0.4495
0.1177 0.8383 0.9264
0.8823 0.1617 0.0736
0.9786 0.8125 0.2303
0.0214 0.1875 0.7697

=====

Ordering by calculated energy gives the sequence #x, #w, with the first entry being the most stable.